No. 1
PBEsol LiMg2, relaxed; symmetry = I4_1/amd, No. 141; uncorrected energy = -1.830 eV/atom
1.0
-2.203 2.203 12.950
2.203 -2.203 12.950
2.203 2.203 -12.950
Li Mg
4 8
direct
0.292 0.542 0.750
0.458 0.708 0.750
0.542 0.292 0.250
0.708 0.458 0.250
0.041 0.791 0.250
0.125 0.375 0.750
0.209 0.959 0.250
0.375 0.125 0.250
0.625 0.875 0.750
0.791 0.041 0.750
0.875 0.625 0.250
0.959 0.209 0.750

=====

No. 2
PBEsol LiMg2, relaxed; symmetry = P-62m, No. 189; uncorrected energy = -1.844 eV/atom
1.0
8.501 0.000 0.000
-4.250 7.362 0.000
0.000 0.000 2.979
Li Mg
3 6
direct
0.000 0.000 0.000
0.333 0.667 0.500
0.667 0.333 0.500
0.000 0.353 0.000
0.000 0.687 0.500
0.313 0.313 0.500
0.353 0.000 0.000
0.647 0.647 0.000
0.687 0.000 0.500

=====

No. 3
PBEsol LiMg5, relaxed; symmetry = Cm, No. 8; uncorrected energy = -1.782 eV/atom; distance to the lowest polymorph of the same formula = 0.003 eV per atom
1.0
11.427 0.000 0.000
0.000 3.176 0.000
-1.854 0.000 7.126
Li Mg
2 10
direct
0.000 0.000 0.000
0.500 0.500 0.000
0.054 0.000 0.610
0.169 0.500 0.334
0.218 0.500 0.944
0.336 0.000 0.674
0.390 0.000 0.269
0.554 0.500 0.610
0.669 0.000 0.334
0.718 0.000 0.944
0.836 0.500 0.674
0.890 0.500 0.269

=====

No. 4
PBEsol LiMg5, relaxed; symmetry = Cmmm, No. 65; uncorrected energy = -1.767 eV/atom; distance to the lowest polymorph of the same formula = 0.018 eV per atom
1.0
4.377 0.000 0.000
0.000 13.213 0.000
0.000 0.000 4.500
Li Mg
2 10
direct
0.000 0.000 0.000
0.500 0.500 0.000
0.000 0.166 0.500
0.000 0.335 0.000
0.000 0.500 0.500
0.000 0.665 0.000
0.000 0.834 0.500
0.500 0.000 0.500
0.500 0.165 0.000
0.500 0.334 0.500
0.500 0.666 0.500
0.500 0.835 0.000

=====

No. 5
PBEsol LiMg2, relaxed; symmetry = C2/m, No. 12; uncorrected energy = -1.761 eV/atom
1.0
5.572 0.000 0.000
0.000 9.720 0.000
-2.773 0.000 4.588
Li Mg
4 8
direct
0.000 0.250 0.000
0.000 0.750 0.000
0.500 0.250 0.000
0.500 0.750 0.000
0.000 0.156 0.500
0.000 0.844 0.500
0.167 0.500 0.832
0.333 0.000 0.168
0.500 0.344 0.500
0.500 0.656 0.500
0.667 0.000 0.832
0.833 0.500 0.168

=====

No. 6
PBEsol LiMg5, relaxed; symmetry = P-6m2, No. 187; uncorrected energy = -1.777 eV/atom; distance to the lowest polymorph of the same formula = 0.008 eV per atom
1.0
3.151 0.000 0.000
-1.575 2.729 0.000
0.000 0.000 15.077
Li Mg
1 5
direct
0.000 0.000 0.000
0.000 0.000 0.331
0.000 0.000 0.669
0.667 0.333 0.159
0.667 0.333 0.500
0.667 0.333 0.841

=====

No. 7
PBEsol Li4Mg, relaxed; symmetry = I4/m, No. 87; uncorrected energy = -1.943 eV/atom; distance to the lowest polymorph of the same formula = 0.000 eV per atom
1.0
6.704 0.000 0.000
0.000 6.704 0.000
0.000 0.000 4.388
Li Mg
8 2
direct
0.097 0.701 0.000
0.201 0.403 0.500
0.299 0.097 0.000
0.403 0.799 0.500
0.597 0.201 0.500
0.701 0.903 0.000
0.799 0.597 0.500
0.903 0.299 0.000
0.000 0.000 0.500
0.500 0.500 0.000

=====

No. 8
PBEsol LiMg2, relaxed; symmetry = P6/mmm, No. 191; uncorrected energy = -1.770 eV/atom
1.0
5.035 0.000 0.000
-2.517 4.360 0.000
0.000 0.000 2.964
Li Mg
1 2
direct
0.000 0.000 0.000
0.333 0.667 0.500
0.667 0.333 0.500

=====

No. 9
PBEsol LiMg5, relaxed; symmetry = P-62m, No. 189; uncorrected energy = -1.785 eV/atom; distance to the lowest polymorph of the same formula = 0.000 eV per atom
1.0
5.459 0.000 0.000
-2.729 4.727 0.000
0.000 0.000 5.017
Li Mg
1 5
direct
0.000 0.000 0.000
0.000 0.329 0.500
0.329 0.000 0.500
0.333 0.667 0.000
0.667 0.333 0.000
0.671 0.671 0.500

=====

No. 10
PBEsol Li3Mg4, relaxed; symmetry = P6/mmm, No. 191; uncorrected energy = -1.838 eV/atom; distance to the lowest polymorph of the same formula = 0.040 eV per atom
1.0
5.338 0.000 0.000
-2.669 4.623 0.000
0.000 0.000 5.725
Li Mg
3 4
direct
0.000 0.500 0.000
0.500 0.000 0.000
0.500 0.500 0.000
0.000 0.000 0.255
0.000 0.000 0.745
0.333 0.667 0.500
0.667 0.333 0.500

=====

No. 11
PBEsol LiMg2, relaxed; symmetry = P-6m2, No. 187; uncorrected energy = -1.828 eV/atom
1.0
3.130 0.000 0.000
-1.565 2.710 0.000
0.000 0.000 14.958
Li Mg
2 4
direct
0.000 0.000 0.164
0.000 0.000 0.836
0.000 0.000 0.500
0.667 0.333 0.000
0.667 0.333 0.326
0.667 0.333 0.674

=====

No. 12
PBEsol Li4Mg, relaxed; symmetry = R-3m, No. 166; uncorrected energy = -1.930 eV/atom; distance to the lowest polymorph of the same formula = 0.013 eV per atom
1.0
3.085 0.000 0.000
-1.543 2.672 0.000
0.000 0.000 36.918
Li Mg
12 3
direct
0.000 0.000 0.100
0.000 0.000 0.300
0.000 0.000 0.700
0.000 0.000 0.900
0.333 0.667 0.367
0.333 0.667 0.567
0.333 0.667 0.766
0.333 0.667 0.967
0.667 0.333 0.033
0.667 0.333 0.234
0.667 0.333 0.433
0.667 0.333 0.633
0.000 0.000 0.500
0.333 0.667 0.167
0.667 0.333 0.833